1.
This record from Alexandria describes an optimized crystal structure of Ce4PuRu5. The functional is PBE.

Cell: 5.2764 6.9137 6.9137 Å, 81.63 67.57 67.57°
Each line ends with the local moment (μB).
Element x y z (fractional)
Ru 0.1937 0.8263 0.6624  -0.10
Ru 0.8561 0.3376 0.8263  -0.10
Ru 0.6824 0.1737 0.3376  -0.10
Ru 0.0200 0.6624 0.1737  -0.10
Ru 0.6568 0.0000 0.0000  -0.46
Ce 0.1571 0.2099 0.4214  0.13
Ce 0.3670 0.4214 0.7901  0.13
Ce 0.7885 0.7901 0.5786  0.13
Ce 0.5786 0.5786 0.2099  0.13
Pu 0.2101 0.0000 0.0000  4.58

As for the theoretical density: 10.09 g cm⁻³. For the formation energy, the calculation gives -0.1749 eV/atom. The total energy is -86.196 eV per cell.

2.
This record from Alexandria describes an optimized crystal structure of SrAgO2. The functional is PBE.

Cell: 3.5538 5.8589 11.6967 Å, 90.00 90.00 90.00°
Element x y z (fractional)
O 0.7500 0.7505 0.9960
O 0.2500 0.2495 0.0040
O 0.7500 0.6826 0.7375
O 0.7500 0.1826 0.7625
O 0.2500 0.7495 0.4960
O 0.2500 0.8174 0.2375
O 0.7500 0.2505 0.5040
O 0.2500 0.3174 0.2625
Sr 0.2500 0.9272 0.8593
Sr 0.7500 0.0728 0.1407
Sr 0.7500 0.5728 0.3593
Sr 0.2500 0.4272 0.6407
Ag 0.7500 0.9443 0.6102
Ag 0.2500 0.0557 0.3898
Ag 0.7500 0.4443 0.8898
Ag 0.2500 0.5557 0.1102

As for the theoretical density: 6.20 g cm⁻³. The total energy is -80.658 eV per cell. The uncorrected formation energy is -5.71 eV/f.u.

3.
This record from Alexandria describes an optimized crystal structure of ZnCrCl2. The functional is PBE.

Cell: 3.1875 3.1875 9.1371 Å, 90.00 90.00 90.00°
Each line ends with the local moment (μB).
Element x y z (fractional)
Zn 0.5000 0.5000 0.7500  -0.02
Cl 0.0000 0.0000 0.0840  -0.01
Cl 0.0000 0.0000 0.4160  -0.01
Cr 0.5000 0.5000 0.2500  3.79

As for the theoretical density: 3.37 g cm⁻³. The total energy is -15.334 eV per cell. The uncorrected formation energy is -0.74 eV/f.u.

4.
This record from Alexandria describes an optimized crystal structure of SrAc2Te. The functional is PBE.

Cell: 4.2580 4.2580 12.4629 Å, 80.16 80.16 60.00°
Element x y z (fractional)
Ac 0.8932 0.8932 0.3205
Ac 0.1068 0.1068 0.6795
Sr 0.0000 0.0000 0.0000
Te 0.5000 0.5000 0.5000

As for the theoretical density: 5.79 g cm⁻³. The total energy is -14.810 eV per cell. The uncorrected formation energy is -1.77 eV/f.u.

5.
This record from Alexandria describes an optimized crystal structure of Tb6Tc2Hg. The functional is PBE.

Cell: 8.5292 8.5292 8.5292 Å, 105.61 111.31 111.56°
Element x y z (fractional)
Tc 0.5000 0.3837 0.8837
Tc 0.6276 0.0000 0.6276
Tc 0.5000 0.6163 0.1163
Tc 0.3724 0.0000 0.3724
Tb 0.2109 0.7678 0.9787
Tb 0.9053 0.7163 0.1890
Tb 0.2921 0.9753 0.6831
Tb 0.7079 0.3910 0.6831
Tb 0.7891 0.7678 0.5568
Tb 0.4727 0.2837 0.1890
Tb 0.5273 0.7163 0.8110
Tb 0.7891 0.2322 0.0213
Tb 0.7079 0.0247 0.3169
Tb 0.2109 0.2322 0.4432
Tb 0.0947 0.2837 0.8110
Tb 0.2921 0.6090 0.3169
Hg 0.0000 0.5000 0.5000
Hg 0.0000 0.0000 0.0000

As for the theoretical density: 9.42 g cm⁻³. For the formation energy, the calculation gives -0.1604 eV/atom. The total energy is -100.517 eV per cell.

6.
This record from Alexandria describes an optimized crystal structure of RbLaGa2. The functional is PBE.

Cell: 8.9722 8.9722 7.4191 Å, 52.79 52.79 90.00°
Element x y z (fractional)
Rb 0.2500 0.7500 0.5000
Rb 0.5000 0.5000 0.0000
Ga 0.0823 0.6250 0.2500
Ga 0.6677 0.1250 0.2500
Ga 0.3750 0.3323 0.7500
Ga 0.8750 0.9177 0.7500
La 0.0000 0.0000 0.0000
La 0.7500 0.2500 0.5000

As for the theoretical density: 3.90 g cm⁻³. For the formation energy, the calculation gives 0.2643 eV/atom. The total energy is -21.783 eV per cell.